(1)
! CsTcSe3, relaxed, DFT PBE; values from VASP
! energy relative to the lowest polymorph listed for this composition	0.384	eV/atom
! mass density	5.9	g cm⁻³
! formation energy (no corrections)	-0.20	eV per atom
! SG	No. 221
! crystal system	cubic
&SYSTEM
  ibrav = 0, nat = 5, ntyp = 3
/
ATOMIC_SPECIES
Cs 132.91 Cs.upf
Tc 98.00 Tc.upf
Se 78.96 Se.upf
ATOMIC_POSITIONS crystal
Cs 0.5000 0.5000 0.5000
Tc 0.0000 0.0000 0.0000
Se 0.0000 0.5000 0.0000
Se 0.0000 0.0000 0.5000
Se 0.5000 0.0000 0.0000
CELL_PARAMETERS angstrom
5.0785 0.0000 0.0000
0.0000 5.0785 0.0000
0.0000 0.0000 5.0785

---

(2)
! CsTcSe2, relaxed, DFT PBE; values from VASP
! energy relative to the lowest polymorph listed for this composition	1.104	eV/atom
! mass density	7.0	g cm⁻³
! formation energy (no corrections)	0.64	eV per atom
! SG	No. 225
! crystal system	cubic
&SYSTEM
  ibrav = 0, nat = 4, ntyp = 3
/
ATOMIC_SPECIES
Cs 132.91 Cs.upf
Tc 98.00 Tc.upf
Se 78.96 Se.upf
ATOMIC_POSITIONS crystal
Cs 0.5000 0.5000 0.5000
Tc 0.0000 0.0000 0.0000
Se 0.2500 0.2500 0.2500
Se 0.7500 0.7500 0.7500
CELL_PARAMETERS angstrom
5.0634 0.0000 0.0000
2.5317 4.3850 0.0000
2.5317 1.4617 4.1342

---

(3)
! CsTcSe2, relaxed, DFT PBE; values from VASP
! energy relative to the lowest polymorph listed for this composition	0.282	eV/atom
! mass density	5.3	g cm⁻³
! formation energy (no corrections)	-0.18	eV per atom
! SG	No. 166
! crystal system	trigonal
&SYSTEM
  ibrav = 0, nat = 4, ntyp = 3
/
ATOMIC_SPECIES
Cs 132.91 Cs.upf
Tc 98.00 Tc.upf
Se 78.96 Se.upf
ATOMIC_POSITIONS crystal
Cs 0.0000 0.0000 0.0000
Tc 0.5000 0.5000 0.5000
Se 0.8814 0.8814 0.8814
Se 0.1186 0.1186 0.1186
CELL_PARAMETERS angstrom
2.2193 0.0000 9.5040
-1.1097 1.9220 9.5040
-1.1097 -1.9220 9.5040

---

(4)
! CsTcSe2, relaxed, DFT PBE; values from VASP
! energy relative to the lowest polymorph listed for this composition	0.000	eV/atom
! mass density	4.9	g cm⁻³
! formation energy (no corrections)	-0.46	eV per atom
! SG	No. 122
! crystal system	tetragonal
&SYSTEM
  ibrav = 0, nat = 8, ntyp = 3
/
ATOMIC_SPECIES
Cs 132.91 Cs.upf
Tc 98.00 Tc.upf
Se 78.96 Se.upf
ATOMIC_POSITIONS crystal
Cs 0.0000 0.0000 0.0000
Cs 0.7500 0.2500 0.5000
Tc 0.5000 0.5000 0.0000
Tc 0.2500 0.7500 0.5000
Se 0.4929 0.1250 0.2500
Se 0.2571 0.6250 0.2500
Se 0.3750 0.5071 0.7500
Se 0.8750 0.7429 0.7500
CELL_PARAMETERS angstrom
7.6454 0.0000 0.0000
0.0000 7.6454 0.0000
3.8227 3.8227 4.5034

---

What did the second record say?
! CsTcSe2, relaxed, DFT PBE; values from VASP
! energy relative to the lowest polymorph listed for this composition	1.104	eV/atom
! mass density	7.0	g cm⁻³
! formation energy (no corrections)	0.64	eV per atom
! SG	No. 225
! crystal system	cubic
&SYSTEM
  ibrav = 0, nat = 4, ntyp = 3
/
ATOMIC_SPECIES
Cs 132.91 Cs.upf
Tc 98.00 Tc.upf
Se 78.96 Se.upf
ATOMIC_POSITIONS crystal
Cs 0.5000 0.5000 0.5000
Tc 0.0000 0.0000 0.0000
Se 0.2500 0.2500 0.2500
Se 0.7500 0.7500 0.7500
CELL_PARAMETERS angstrom
5.0634 0.0000 0.0000
2.5317 4.3850 0.0000
2.5317 1.4617 4.1342

---

> Which value of mass density does entry 2 give?

7.0 g cm⁻³

---

> The lowest mass density belongs to which entry?

number 4